Record 1
Tc2Pt | PBEsol | relaxed Values from VASP.

Geometry as Quantum ESPRESSO input:
```
&SYSTEM
  ibrav = 0, nat = 6, ntyp = 2
/
ATOMIC_SPECIES
Tc 98.00 Tc.upf
Pt 195.08 Pt.upf
ATOMIC_POSITIONS crystal
Tc 0.0562 0.9438 0.7500
Tc 0.2792 0.7208 0.2500
Tc 0.7208 0.2792 0.7500
Tc 0.9438 0.0562 0.2500
Pt 0.3893 0.6107 0.7500
Pt 0.6107 0.3893 0.2500
CELL_PARAMETERS angstrom
1.3596 -7.1458 0.0000
1.3596 7.1458 0.0000
0.0000 0.0000 4.3603
```

Volume (Å³/cell): 85
E (eV per atom): -10.03
Symmetry: No. 63


Record 2
Tc5Pt | PBEsol | relaxed Values from VASP.

Geometry as Quantum ESPRESSO input:
```
&SYSTEM
  ibrav = 0, nat = 6, ntyp = 2
/
ATOMIC_SPECIES
Tc 98.00 Tc.upf
Pt 195.08 Pt.upf
ATOMIC_POSITIONS crystal
Tc 0.0000 0.0000 0.0000
Tc 0.0000 0.3287 0.3287
Tc 0.0000 0.6632 0.6632
Tc 0.5000 0.2202 0.2202
Tc 0.5000 0.5563 0.5563
Pt 0.5000 0.8865 0.8865
CELL_PARAMETERS angstrom
4.3408 0.0000 0.0000
0.0000 1.3591 7.1357
0.0000 -1.3591 7.1357
```

Volume (Å³/cell): 84
E (eV per atom): -10.67
Symmetry: No. 38


Record 3
TcPt2 | PBEsol | relaxed Values from VASP.

Geometry as Quantum ESPRESSO input:
```
&SYSTEM
  ibrav = 0, nat = 3, ntyp = 2
/
ATOMIC_SPECIES
Tc 98.00 Tc.upf
Pt 195.08 Pt.upf
ATOMIC_POSITIONS crystal
Tc 0.0000 0.0000 0.0000
Pt 0.3333 0.6667 0.6767
Pt 0.6667 0.3333 0.3233
CELL_PARAMETERS angstrom
2.7369 0.0000 0.0000
-1.3685 2.3702 0.0000
0.0000 0.0000 6.7318
```

Volume (Å³/cell): 44
E (eV per atom): -8.51
Symmetry: No. 164


Record 4
TcPt | PBEsol | relaxed Values from VASP.

Geometry as Quantum ESPRESSO input:
```
&SYSTEM
  ibrav = 0, nat = 4, ntyp = 2
/
ATOMIC_SPECIES
Tc 98.00 Tc.upf
Pt 195.08 Pt.upf
ATOMIC_POSITIONS crystal
Tc 0.3750 0.6250 0.7500
Tc 0.6250 0.3750 0.2500
Pt 0.1250 0.8750 0.2500
Pt 0.8750 0.1250 0.7500
CELL_PARAMETERS angstrom
-1.9426 1.9426 3.7978
1.9426 -1.9426 3.7978
1.9426 1.9426 -3.7978
```

Volume (Å³/cell): 57
E (eV per atom): -9.25
Symmetry: No. 141


Record 5
TcPt3 | PBEsol | relaxed Values from VASP.

Geometry as Quantum ESPRESSO input:
```
&SYSTEM
  ibrav = 0, nat = 4, ntyp = 2
/
ATOMIC_SPECIES
Tc 98.00 Tc.upf
Pt 195.08 Pt.upf
ATOMIC_POSITIONS crystal
Tc 0.0000 0.0000 0.0000
Pt 0.0000 0.0000 0.5000
Pt 0.3333 0.6667 0.2384
Pt 0.3333 0.6667 0.7616
CELL_PARAMETERS angstrom
2.7589 0.0000 0.0000
-1.3794 2.3892 0.0000
0.0000 0.0000 8.9460
```

Volume (Å³/cell): 59
E (eV per atom): -8.12
Symmetry: No. 187


Record 6
TcPt3 | PBEsol | relaxed Values from VASP.

Geometry as Quantum ESPRESSO input:
```
&SYSTEM
  ibrav = 0, nat = 4, ntyp = 2
/
ATOMIC_SPECIES
Tc 98.00 Tc.upf
Pt 195.08 Pt.upf
ATOMIC_POSITIONS crystal
Tc 0.0000 0.0000 0.0000
Pt 0.0000 0.0000 0.5000
Pt 0.5000 0.5000 0.2382
Pt 0.5000 0.5000 0.7618
CELL_PARAMETERS angstrom
2.7183 0.0000 0.0000
0.0000 2.7183 0.0000
0.0000 0.0000 7.9016
```

Volume (Å³/cell): 58
E (eV per atom): -8.22
Symmetry: No. 123


Record 7
Tc5Pt | PBEsol | relaxed Values from VASP.

Geometry as Quantum ESPRESSO input:
```
&SYSTEM
  ibrav = 0, nat = 6, ntyp = 2
/
ATOMIC_SPECIES
Tc 98.00 Tc.upf
Pt 195.08 Pt.upf
ATOMIC_POSITIONS crystal
Tc 0.0000 0.0000 0.0000
Tc 0.0544 0.0544 0.6223
Tc 0.3348 0.3348 0.6765
Tc 0.3897 0.3897 0.2826
Tc 0.7235 0.7235 0.9493
Pt 0.6670 0.6670 0.3399
CELL_PARAMETERS angstrom
4.9387 -1.3608 0.0000
4.9387 1.3608 0.0000
-1.5314 0.0000 6.2604
```

Volume (Å³/cell): 84
E (eV per atom): -10.66
Symmetry: No. 8


Record 8
Tc3Pt2 | PBEsol | relaxed Values from VASP.

Geometry as Quantum ESPRESSO input:
```
&SYSTEM
  ibrav = 0, nat = 5, ntyp = 2
/
ATOMIC_SPECIES
Tc 98.00 Tc.upf
Pt 195.08 Pt.upf
ATOMIC_POSITIONS crystal
Tc 0.0000 0.0000 0.0000
Tc 0.3333 0.6667 0.4014
Tc 0.6667 0.3333 0.5986
Pt 0.3333 0.6667 0.8710
Pt 0.6667 0.3333 0.1290
CELL_PARAMETERS angstrom
4.1866 0.0000 0.0000
-2.0933 3.6257 0.0000
0.0000 0.0000 5.3986
```

Volume (Å³/cell): 82
E (eV per atom): -8.91
Symmetry: No. 164


The calculation returns the following DOS(E_F) values, one per record and in order: 0.7351, 0.8615, 1.1954, 1.1632, 1.4006, 0.7041, 0.8945, 1.4465 states/eV per atom.
The calculation returns the following magnetic moment values, one per record and in order: 0.0001, 0.0000, 0.0001, 0.0001, 0.0001, 0.0000, 0.0001, 0.2967 μB per atom.